The following is a GGA-PBE calculation of a relaxed SrMgSi2 crystal, from Alexandria via LeMat-Bulk.

```
data_SrMgSi2
_space_group_name_H-M_alt 'C m m m'
_space_group_IT_number 65
_space_group_name_Hall '-C 2 2'
_cell_length_a 6.332
_cell_length_b 8.665
_cell_length_c 3.237
_cell_angle_alpha 90.00
_cell_angle_beta 90.00
_cell_angle_gamma 90.00
loop_
_atom_site_label
_atom_site_fract_x
_atom_site_fract_y
_atom_site_fract_z
_atom_site_occupancy
Sr1 0.000 0.000 0.000 1
Mg1 0.000 0.500 0.000 1
Si1 0.250 0.250 0.500 1
```

Computed properties:
M_tot (μB per formula unit): 0.00
Raw formation energy (kJ per mole of atoms): 10.48

The following is a GGA-PBE calculation of a relaxed Rb2USeO2 crystal, from Alexandria via LeMat-Bulk.

```
data_Rb2USeO2
_space_group_name_H-M_alt 'P 4/m m m'
_space_group_IT_number 123
_space_group_name_Hall '-P 4 2'
_cell_length_a 4.478
_cell_length_b 4.478
_cell_length_c 6.819
_cell_angle_alpha 90.00
_cell_angle_beta 90.00
_cell_angle_gamma 90.00
loop_
_atom_site_label
_atom_site_fract_x
_atom_site_fract_y
_atom_site_fract_z
_atom_site_occupancy
Rb1 0.000 0.000 0.222 1
U1 0.500 0.500 0.500 1
Se1 0.500 0.500 0.000 1
O1 0.000 0.500 0.500 1
```

Computed properties:
M_tot (μB per formula unit): 2.00
Raw formation energy (kJ per mole of atoms): -180.98

The following is a GGA-PBE calculation of a relaxed KSr2Cu crystal, from Alexandria via LeMat-Bulk.

```
data_KSr2Cu
_space_group_name_H-M_alt 'I -4 m 2'
_space_group_IT_number 119
_space_group_name_Hall 'I -4 -2'
_cell_length_a 5.196
_cell_length_b 5.196
_cell_length_c 12.244
_cell_angle_alpha 90.00
_cell_angle_beta 90.00
_cell_angle_gamma 90.00
loop_
_atom_site_label
_atom_site_fract_x
_atom_site_fract_y
_atom_site_fract_z
_atom_site_occupancy
K1 0.000 0.000 0.000 1
Sr1 0.000 0.000 0.500 1
Sr2 0.000 0.500 0.750 1
Cu1 0.000 0.500 0.250 1
```

Computed properties:
Energy above the most stable polymorph in this dataset (meV per atom): 327.3
M_tot (μB per formula unit): 0.00
ΔH_f (0 K) (meV/atom): 354.9

M_tot of number 2 (Rb2USeO2)?
2.00 μB per formula unit